# 1
DFT (PBE) results for Cd3GaTc after structural relaxation.

Computed properties:
E = -12.0 eV per cell
crystal system = cubic
formation energy from the elements = 397 kJ/mol of formula units

```
5
Lattice="5.271 0.000 0.000 0.000 5.271 0.000 0.000 0.000 5.271" Properties=species:S:1:pos:R:3 pbc="T T T"
Cd 0.000 0.000 2.635
Cd 0.000 2.635 0.000
Cd 2.635 0.000 0.000
Ga 2.635 2.635 2.635
Tc 0.000 0.000 0.000
```


# 2
DFT (PBE) results for Cd2GaTc after structural relaxation.

Computed properties:
E = -26.3 eV per cell
crystal system = tetragonal
formation energy from the elements = 201 kJ/mol of formula units

```
8
Lattice="7.575 0.000 0.000 0.000 7.575 0.000 3.788 3.788 2.688" Properties=species:S:1:pos:R:3 pbc="T T T"
Tc 7.575 3.788 1.344
Tc 0.000 0.000 0.000
Cd 9.469 9.415 2.016
Cd 1.948 5.681 0.672
Cd 5.681 5.735 2.016
Cd 5.627 1.894 0.672
Ga 3.788 7.575 1.344
Ga 3.788 3.788 0.000
```


# 3
DFT (PBE) results for CdGaTc after structural relaxation.

Computed properties:
E = -28.7 eV per cell
crystal system = tetragonal
formation energy from the elements = -4 kJ/mol of formula units

```
6
Lattice="2.950 0.000 0.000 0.000 2.950 0.000 0.000 0.000 12.550" Properties=species:S:1:pos:R:3 pbc="T T T"
Tc 0.000 1.475 7.049
Tc 1.475 0.000 5.500
Cd 1.475 0.000 1.319
Cd 0.000 1.475 11.230
Ga 1.475 0.000 8.777
Ga 0.000 1.475 3.772
```


# 4
DFT (PBE) results for CdGaTc3 after structural relaxation.

Computed properties:
E = -23.1 eV per cell
crystal system = cubic
formation energy from the elements = 1153 kJ/mol of formula units

```
5
Lattice="-0.519 -3.095 -3.858 4.943 -0.464 -0.293 -0.177 -3.865 3.124" Properties=species:S:1:pos:R:3 pbc="T T T"
Tc -0.260 -1.547 -1.929
Tc 2.471 -0.232 -0.147
Tc -0.089 -1.933 1.562
Ga 2.123 -3.712 -0.514
Cd 0.000 0.000 0.000
```


# 5
DFT (PBE) results for CdGa2Tc2 after structural relaxation.

Computed properties:
E = -54.5 eV per cell
crystal system = tetragonal
formation energy from the elements = 43 kJ/mol of formula units

```
10
Lattice="7.358 0.000 0.000 0.000 7.358 0.000 0.000 0.000 3.055" Properties=species:S:1:pos:R:3 pbc="T T T"
Cd 3.679 3.679 0.000
Cd 0.000 0.000 0.000
Ga 2.398 1.281 1.528
Ga 4.960 6.077 1.528
Ga 6.077 2.398 1.528
Ga 1.281 4.960 1.528
Tc 6.482 4.555 0.000
Tc 0.876 2.803 0.000
Tc 4.555 0.876 0.000
Tc 2.803 6.482 0.000
```


# 6
DFT (PBE) results for CdGaTc3 after structural relaxation.

Computed properties:
E = -28.1 eV per cell
crystal system = cubic
formation energy from the elements = 669 kJ/mol of formula units

```
5
Lattice="4.594 0.000 0.000 0.000 4.594 0.000 0.000 0.000 4.594" Properties=species:S:1:pos:R:3 pbc="T T T"
Tc 0.000 0.000 2.297
Tc 2.297 0.000 0.000
Tc 0.000 2.297 0.000
Ga 0.000 0.000 0.000
Cd 2.297 2.297 2.297
```


# 7
DFT (PBE) results for TlCdGa2Tc after structural relaxation.

Computed properties:
E = -18.6 eV per cell
crystal system = tetragonal
formation energy from the elements = 110 kJ/mol of formula units

```
5
Lattice="4.867 0.000 0.000 0.000 5.346 0.000 0.000 0.000 4.867" Properties=species:S:1:pos:R:3 pbc="T T T"
Cd 0.000 2.673 0.000
Ga 2.433 0.000 0.000
Ga 0.000 0.000 2.433
Tc 0.000 0.000 0.000
Tl 2.433 2.673 2.433
```


# 8
DFT (PBE) results for YCd2GaTc after structural relaxation.

Computed properties:
E = -19.3 eV per cell
crystal system = tetragonal
formation energy from the elements = 233 kJ/mol of formula units

```
5
Lattice="4.891 0.000 0.000 0.000 4.888 0.000 0.000 0.000 4.891" Properties=species:S:1:pos:R:3 pbc="T T T"
Ga 0.000 0.000 0.000
Cd 2.446 0.000 0.000
Cd 0.000 0.000 2.446
Y 2.446 2.444 2.446
Tc 0.000 2.444 0.000
```


# 9
DFT (PBE) results for Cd2GaTe after structural relaxation.

Computed properties:
E = -16.2 eV per cell
crystal system = tetragonal
uncorrected formation energy = -0.021 eV per atom

```
8
Lattice="8.006 0.000 0.000 0.000 8.006 0.000 4.003 4.003 3.228" Properties=species:S:1:pos:R:3 pbc="T T T"
Ga 4.003 4.003 0.000
Ga 4.003 8.006 1.614
Te 8.006 4.003 1.614
Te 0.000 0.000 0.000
Cd 10.008 9.931 2.421
Cd 6.005 6.082 2.421
Cd 2.079 6.005 0.807
Cd 5.927 2.002 0.807
```


# 10
DFT (PBE) results for CdGa2Te2 after structural relaxation.

Computed properties:
E = -13.6 eV per cell
crystal system = tetragonal
uncorrected formation energy = -0.079 eV per atom

```
5
Lattice="5.588 0.000 0.000 0.000 5.588 0.000 2.794 2.794 4.232" Properties=species:S:1:pos:R:3 pbc="T T T"
Ga 5.588 5.588 2.939
Ga 2.794 2.794 1.293
Te 2.794 5.588 2.116
Te 5.588 2.794 2.116
Cd 0.000 0.000 0.000
```


# 11
DFT (PBE) results for CdGaTe2 after structural relaxation.

Computed properties:
E = -11.3 eV per cell
crystal system = trigonal
uncorrected formation energy = -0.272 eV per atom

```
4
Lattice="-2.425 2.116 3.521 -4.526 -1.238 0.858 -0.068 -4.755 6.043" Properties=species:S:1:pos:R:3 pbc="T T T"
Te -6.017 -1.218 6.282
Te -2.515 -4.171 7.238
Cd -3.419 -2.141 5.395
Ga -6.896 0.755 4.491
```


# 12
DFT (PBE) results for CdGa2Te4 after structural relaxation.

Computed properties:
E = -22.1 eV per cell
crystal system = tetragonal
uncorrected formation energy = -0.362 eV per atom

```
7
Lattice="-2.481 3.259 -4.466 2.844 -3.445 -4.094 -4.998 -3.978 -0.126" Properties=species:S:1:pos:R:3 pbc="T T T"
Te -0.975 -1.120 -6.232
Te -4.774 -1.581 -4.458
Te -1.138 -1.037 -2.390
Te -2.384 -4.590 -4.291
Ga -3.740 -0.359 -2.296
Ga -1.077 -3.711 -2.110
Cd 0.000 0.000 0.000
```


# 13
DFT (PBE) results for Cd2Ga2Te after structural relaxation.

Computed properties:
E = -10.7 eV per cell
crystal system = tetragonal
uncorrected formation energy = 0.061 eV per atom

```
5
Lattice="-2.781 0.880 3.334 -2.703 -3.215 -1.406 0.292 -5.303 4.586" Properties=species:S:1:pos:R:3 pbc="T T T"
Cd -2.615 -2.795 4.442
Cd -2.577 -4.842 2.072
Ga -2.145 -1.981 1.677
Ga -3.047 -5.656 4.837
Te 0.000 0.000 0.000
```


# 14
DFT (PBE) results for CdGaTe2 after structural relaxation.

Computed properties:
E = -10.3 eV per cell
crystal system = trigonal
uncorrected formation energy = -0.029 eV per atom

```
4
Lattice="4.581 4.420 6.020 7.145 1.015 4.967 7.070 4.581 2.407" Properties=species:S:1:pos:R:3 pbc="T T T"
Ga 9.398 5.008 6.697
Te 2.005 1.068 1.429
Te 16.792 8.948 11.966
Cd 0.000 0.000 0.000
```